DFT (PBE) results for a relaxed structure of Na2CaZn2O4.

Results
Uncorrected formation energy ... -15.6 eV/f.u.
Crystal system ... monoclinic
Fermi-level density of states ... 0.0 states/eV per cell
Size of the total moment ... 0.00 μB per cell

Unit cell a=11.2950 b=3.4037 c=8.2732 alpha=90.00 beta=126.81 gamma=90.00
Space group C2/m (No. 12)
Unique sites:
1 Na 0.1834 0.0000 0.2997
2 Ca 0.0000 0.0000 0.5000
3 Zn 0.1307 0.5000 0.8721
4 O 0.0677 0.5000 0.3688
5 O 0.2304 0.0000 0.8329